1.
# LiTcNi

An optimized crystal structure of LiTcNi (PBE, Alexandria).

It has space group I4mm (No. 107), with a = 2.612 Å, b = 2.612 Å, c = 11.412 Å, α = 90.00°, β = 90.00° and γ = 90.00°. Symmetry generates all atoms from Li at (0.000, 0.000, 0.000), Tc at (0.000, 0.000, 0.689) and Ni at (0.000, 0.000, 0.341).

The spin magnetization is 0.00 μB/f.u. For the energy of formation, the calculation gives 44.6 kJ/mol of formula units. Its total energy is -5.866 eV/atom. As for the crystal system: tetragonal. The energy above the lowest structure with this stoichiometry is 8.77 kJ/mol of atoms.

2.
# Ac2Pr3Pb4

An optimized crystal structure of Ac2Pr3Pb4 (PBE, Alexandria).

It has space group P2_1/c (No. 14), with a = 8.859 Å, b = 8.852 Å, c = 8.622 Å, α = 90.00°, β = 110.88° and γ = 90.00°. Symmetry generates all atoms from Ac at (0.194, 0.179, 0.062), Pr at (0.245, 0.663, 0.241), Pr at (0.500, 0.000, 0.500), Pb at (0.086, 0.541, 0.840) and Pb at (0.494, 0.137, 0.863).

The spin magnetization is 0.00 μB/f.u. For the energy of formation, the calculation gives -526.2 kJ/mol of formula units. Its total energy is -4.760 eV/atom. As for the crystal system: monoclinic. The energy above the lowest structure with this stoichiometry is 0.00 kJ/mol of atoms.

3.
# BaMoW2

An optimized crystal structure of BaMoW2 (PBE, Alexandria).

It has space group I4_1/amd (No. 141, origin choice 2), with a = 5.155 Å, b = 5.155 Å, c = 17.419 Å, α = 90.00°, β = 90.00° and γ = 90.00°. Symmetry generates all atoms from Ba at (0.000, 0.250, 0.375), Mo at (0.000, 0.250, 0.875) and W at (0.000, 0.000, 0.000).

The spin magnetization is 0.00 μB/f.u. For the energy of formation, the calculation gives 610.9 kJ/mol of formula units. Its total energy is -8.082 eV/atom. As for the crystal system: tetragonal. The energy above the lowest structure with this stoichiometry is 70.96 kJ/mol of atoms.

4.
# NdSmH

An optimized crystal structure of NdSmH (PBE, Alexandria).

It has space group P-1 (No. 2), with a = 3.710 Å, b = 6.541 Å, c = 6.567 Å, α = 80.75°, β = 89.95° and γ = 73.56°. Symmetry generates all atoms from Nd at (0.137, 0.229, 0.371), Sm at (0.374, 0.750, 0.114) and H at (0.193, 0.115, 0.058).

The spin magnetization is 0.00 μB/f.u. Its total energy is -4.511 eV/atom. As for the crystal system: triclinic. The energy above the lowest structure with this stoichiometry is 0.00 kJ/mol of atoms.

5.
# YNpMnC3

An optimized crystal structure of YNpMnC3 (PBE, Alexandria).

It has space group P2_1/m (No. 11), with a = 7.119 Å, b = 3.465 Å, c = 7.277 Å, α = 90.00°, β = 94.43° and γ = 90.00°. Symmetry generates all atoms from Y at (0.153, 0.250, 0.179), Np at (0.366, 0.750, 0.819), Mn at (0.092, 0.250, 0.588), C at (0.131, 0.250, 0.841), C at (0.161, 0.750, 0.514) and C at (0.414, 0.750, 0.128).

The spin magnetization is 2.21 μB/f.u. For the energy of formation, the calculation gives 31.3 kJ/mol of formula units. Its total energy is -9.320 eV/atom. As for the crystal system: monoclinic.

6.
# CaSn2P

An optimized crystal structure of CaSn2P (PBE, Alexandria).

It has space group I-42d (No. 122), with a = 8.573 Å, b = 8.573 Å, c = 5.871 Å, α = 90.00°, β = 90.00° and γ = 90.00°. Symmetry generates all atoms from Ca at (0.000, 0.000, 0.000), Sn at (0.191, 0.750, 0.625) and P at (0.000, 0.000, 0.500).

The spin magnetization is 0.00 μB/f.u. For the energy of formation, the calculation gives -105.1 kJ/mol of formula units. Its total energy is -4.127 eV/atom. As for the crystal system: tetragonal.

7.
# Cs2SnPtCl6

An optimized crystal structure of Cs2SnPtCl6 (PBE, Alexandria).

It has space group I4/mmm (No. 139), with a = 7.505 Å, b = 7.505 Å, c = 10.551 Å, α = 90.00°, β = 90.00° and γ = 90.00°. Symmetry generates all atoms from Cs at (0.000, 0.500, 0.250), Sn at (0.000, 0.000, 0.000), Pt at (0.000, 0.000, 0.500), Cl at (0.000, 0.000, 0.263) and Cl at (0.241, 0.241, 0.500).

The uncorrected formation energy is -1.17 eV per atom. The spin magnetization is 0.00 μB/f.u. Its total energy is -3.453 eV/atom. As for the crystal system: tetragonal.

8.
# PmNd2Cd

An optimized crystal structure of PmNd2Cd (PBE, Alexandria).

It has space group R3m (No. 160, hexagonal axes), with a = 3.6819 Å, b = 3.6819 Å, c = 33.4165 Å, α = 90.00°, β = 90.00° and γ = 120.00°. Symmetry generates all atoms from Pm at (0.0000, 0.0000, 0.0000), Nd at (0.0000, 0.0000, 0.2435), Nd at (0.0000, 0.0000, 0.4226) and Cd at (0.0000, 0.0000, 0.8331).

The spin magnetization is 0.00 μB/f.u. For the energy of formation, the calculation gives -20.6 kJ/mol of formula units. Its total energy is -3.854 eV/atom. As for the crystal system: trigonal. The energy above the lowest structure with this stoichiometry is 9.18 kJ/mol of atoms.

9.
# Ca2YMn

An optimized crystal structure of Ca2YMn (PBE, Alexandria).

It has space group R-3m (No. 166, hexagonal axes), with a = 3.6236 Å, b = 3.6236 Å, c = 32.9601 Å, α = 90.00°, β = 90.00° and γ = 120.00°. Symmetry generates all atoms from Ca at (0.0000, 0.0000, 0.2382), Y at (0.0000, 0.0000, 0.0000) and Mn at (0.0000, 0.0000, 0.5000).

The spin magnetization is 4.14 μB/f.u. For the energy of formation, the calculation gives 164.2 kJ/mol of formula units. Its total energy is -4.484 eV/atom. As for the crystal system: trigonal. The energy above the lowest structure with this stoichiometry is 24.08 kJ/mol of atoms.

10.
# BaIr2Cl

An optimized crystal structure of BaIr2Cl (PBE, Alexandria).

It has space group C2/m (No. 12), with a = 13.521 Å, b = 3.151 Å, c = 4.574 Å, α = 90.00°, β = 109.34° and γ = 90.00°. Symmetry generates all atoms from Ba at (0.000, 0.000, 0.000), Ir at (0.248, 0.500, 0.248) and Cl at (0.000, 0.500, 0.500).

The uncorrected formation energy is 0.14 eV per atom. The spin magnetization is 0.00 μB/f.u. Its total energy is -5.238 eV/atom. As for the crystal system: monoclinic. The energy above the lowest structure with this stoichiometry is 44.43 kJ/mol of atoms.

11.
# K3TiCd

An optimized crystal structure of K3TiCd (PBE, Alexandria).

It has space group Pm-3m (No. 221), with a = 6.770 Å, b = 6.770 Å, c = 6.770 Å, α = 90.00°, β = 90.00° and γ = 90.00°. Symmetry generates all atoms from K at (0.000, 0.000, 0.500), Ti at (0.000, 0.000, 0.000) and Cd at (0.500, 0.500, 0.500).

The spin magnetization is 4.77 μB/f.u. For the energy of formation, the calculation gives 439.0 kJ/mol of formula units. Its total energy is -1.510 eV/atom. As for the crystal system: cubic. The energy above the lowest structure with this stoichiometry is 0.00 kJ/mol of atoms.

12.
# BaCd4Pb2

An optimized crystal structure of BaCd4Pb2 (PBE, Alexandria).

It has space group P2/m (No. 10), with a = 4.813 Å, b = 4.750 Å, c = 9.310 Å, α = 90.00°, β = 104.72° and γ = 90.00°. Symmetry generates all atoms from Ba at (0.000, 0.000, 0.000), Cd at (0.193, 0.500, 0.384), Cd at (0.301, 0.000, 0.608) and Pb at (0.410, 0.500, 0.823).

The spin magnetization is 0.00 μB/f.u. For the energy of formation, the calculation gives -132.1 kJ/mol of formula units. Its total energy is -2.053 eV/atom. As for the crystal system: monoclinic.

13.
# SmHo2Er2Mg5

An optimized crystal structure of SmHo2Er2Mg5 (PBE, Alexandria).

It has space group P4/mbm (No. 127), with a = 10.560 Å, b = 10.560 Å, c = 5.092 Å, α = 90.00°, β = 90.00° and γ = 90.00°. Symmetry generates all atoms from Sm at (0.000, 0.000, 0.000), Ho at (0.178, 0.322, 0.000), Er at (0.118, 0.618, 0.000), Mg at (0.000, 0.500, 0.500) and Mg at (0.076, 0.802, 0.500).

The spin magnetization is 0.00 μB/f.u. For the energy of formation, the calculation gives 78.2 kJ/mol of formula units. Its total energy is -3.016 eV/atom. As for the crystal system: tetragonal.

14.
# CaAc7Pb5

An optimized crystal structure of CaAc7Pb5 (PBE, Alexandria).

It has space group Imm2 (No. 44), with a = 7.063 Å, b = 11.849 Å, c = 12.050 Å, α = 90.00°, β = 90.00° and γ = 90.00°. Symmetry generates all atoms from Ca at (0.000, 0.000, 0.000), Ac at (0.000, 0.000, 0.315), Ac at (0.000, 0.000, 0.652), Ac at (0.000, 0.326, 0.425), Ac at (0.000, 0.334, 0.943), Ac at (0.000, 0.500, 0.676), Pb at (0.000, 0.500, 0.188) and Pb at (0.239, 0.239, 0.183).

The spin magnetization is 0.00 μB/f.u. For the energy of formation, the calculation gives -397.4 kJ/mol of formula units. Its total energy is -4.109 eV/atom. As for the crystal system: orthorhombic.

15.
# Li9Ca2Ag3

An optimized crystal structure of Li9Ca2Ag3 (PBE, Alexandria).

It has space group Cmcm (No. 63), with a = 13.811 Å, b = 8.447 Å, c = 9.857 Å, α = 90.00°, β = 90.00° and γ = 90.00°. Symmetry generates all atoms from Li at (0.000, 0.159, 0.250), Li at (0.000, 0.339, 0.520), Li at (0.108, 0.463, 0.250), Li at (0.169, 0.177, 0.080), Ca at (0.149, 0.155, 0.750), Ag at (0.000, 0.000, 0.000) and Ag at (0.180, 0.500, 0.000).

The spin magnetization is 0.00 μB/f.u. For the energy of formation, the calculation gives -176.4 kJ/mol of formula units. Its total energy is -2.258 eV/atom. As for the crystal system: orthorhombic.

16.
# US2Cl

An optimized crystal structure of US2Cl (PBE, Alexandria).

It has space group R-3m (No. 166, hexagonal axes), with a = 4.2600 Å, b = 4.2600 Å, c = 18.4840 Å, α = 90.00°, β = 90.00° and γ = 120.00°. Symmetry generates all atoms from U at (0.0000, 0.0000, 0.0000), S at (0.0000, 0.0000, 0.2780) and Cl at (0.0000, 0.0000, 0.5000).

The uncorrected formation energy is -0.94 eV per atom. The spin magnetization is 1.00 μB/f.u. Its total energy is -6.291 eV/atom. As for the crystal system: trigonal. The energy above the lowest structure with this stoichiometry is 24.55 kJ/mol of atoms.

17.
# ErTmTc

An optimized crystal structure of ErTmTc (PBE, Alexandria).

It has space group Cmcm (No. 63), with a = 4.342 Å, b = 18.030 Å, c = 3.962 Å, α = 90.00°, β = 90.00° and γ = 90.00°. Symmetry generates all atoms from Er at (0.000, 0.197, 0.250), Tm at (0.000, 0.416, 0.250) and Tc at (0.000, 0.037, 0.250).

The spin magnetization is 0.00 μB/f.u. For the energy of formation, the calculation gives 1.3 kJ/mol of formula units. Its total energy is -6.462 eV/atom. As for the crystal system: orthorhombic. The energy above the lowest structure with this stoichiometry is 9.99 kJ/mol of atoms.

18.
# BaAs3Pd4

An optimized crystal structure of BaAs3Pd4 (PBE, Alexandria).

It has space group P4/mmm (No. 123), with a = 4.254 Å, b = 4.254 Å, c = 9.261 Å, α = 90.00°, β = 90.00° and γ = 90.00°. Symmetry generates all atoms from Ba at (0.000, 0.000, 0.000), As at (0.000, 0.000, 0.500), As at (0.500, 0.500, 0.194) and Pd at (0.000, 0.500, 0.341).

The spin magnetization is 0.00 μB/f.u. For the energy of formation, the calculation gives -446.8 kJ/mol of formula units. Its total energy is -5.159 eV/atom. As for the crystal system: tetragonal.

19.
# KLiUCl6

An optimized crystal structure of KLiUCl6 (PBE, Alexandria).

It has space group P-31c (No. 163), with a = 6.8127 Å, b = 6.8127 Å, c = 14.0295 Å, α = 90.00°, β = 90.00° and γ = 120.00°. Symmetry generates all atoms from K at (0.0000, 0.0000, 0.0000), Li at (0.3333, 0.6667, 0.2500), U at (0.3333, 0.6667, 0.7500) and Cl at (0.0002, 0.3681, 0.1428).

The uncorrected formation energy is -1.83 eV per atom. The spin magnetization is 2.00 μB/f.u. Its total energy is -4.650 eV/atom. As for the crystal system: trigonal.

20.
# LaPrPbCl

An optimized crystal structure of LaPrPbCl (PBE, Alexandria).

It has space group F-43m (No. 216), with a = 7.753 Å, b = 7.753 Å, c = 7.753 Å, α = 90.00°, β = 90.00° and γ = 90.00°. Symmetry generates all atoms from La at (0.000, 0.000, 0.000), Pr at (0.000, 0.000, 0.500), Pb at (0.250, 0.250, 0.750) and Cl at (0.250, 0.250, 0.250).

The uncorrected formation energy is -0.96 eV per atom. The spin magnetization is 0.00 μB/f.u. Its total energy is -4.771 eV/atom. As for the crystal system: cubic.

21.
# TaH3W

An optimized crystal structure of TaH3W (PBE, Alexandria).

It has space group Pm-3m (No. 221), with a = 3.524 Å, b = 3.524 Å, c = 3.524 Å, α = 90.00°, β = 90.00° and γ = 90.00°. Symmetry generates all atoms from Ta at (0.000, 0.000, 0.000), H at (0.000, 0.000, 0.500) and W at (0.500, 0.500, 0.500).

The spin magnetization is 0.00 μB/f.u. Its total energy is -6.373 eV/atom. As for the crystal system: cubic. The energy above the lowest structure with this stoichiometry is 13.78 kJ/mol of atoms.

22.
# KInI2Cl

An optimized crystal structure of KInI2Cl (PBE, Alexandria).

It has space group P4/mmm (No. 123), with a = 6.132 Å, b = 6.132 Å, c = 5.412 Å, α = 90.00°, β = 90.00° and γ = 90.00°. Symmetry generates all atoms from K at (0.000, 0.000, 0.000), In at (0.500, 0.500, 0.500), I at (0.000, 0.500, 0.500) and Cl at (0.500, 0.500, 0.000).

The uncorrected formation energy is -0.99 eV per atom. The spin magnetization is 0.00 μB/f.u. Its total energy is -2.744 eV/atom. As for the crystal system: tetragonal.

23.
# RbNpHSe3

An optimized crystal structure of RbNpHSe3 (PBE, Alexandria).

It has space group P2_1/m (No. 11), with a = 9.170 Å, b = 3.912 Å, c = 9.799 Å, α = 90.00°, β = 99.21° and γ = 90.00°. Symmetry generates all atoms from Rb at (0.156, 0.250, 0.273), Np at (0.335, 0.750, 0.860), H at (0.242, 0.250, 0.589), Se at (0.138, 0.250, 0.903), Se at (0.236, 0.750, 0.577) and Se at (0.444, 0.750, 0.151).

The spin magnetization is 2.75 μB/f.u. Its total energy is -5.390 eV/atom. As for the crystal system: monoclinic.